1 | ## Cd3SiNi (PBE-GGA)

Data for crystalline Cd3SiNi at its relaxed geometry.

a = 4.8968 Å, b = 4.8968 Å, c = 4.8968 Å
α = 90.00°, β = 90.00°, γ = 90.00°
Last column: nearest neighbours and their distance in Å.
Sites, in units of the cell vectors:
Cd 0.5000 0.0000 0.0000  2 Ni 2.45
Cd 0.0000 0.0000 0.5000  2 Ni 2.45
Cd 0.0000 0.5000 0.0000  2 Ni 2.45
Si 0.5000 0.5000 0.5000  12 Cd 3.46
Ni 0.0000 0.0000 0.0000  6 Cd 2.45

Calculated values
* crystal system: cubic
* M_tot: 0.0 μB/f.u.

=====

2 | ## Cd3SiNi (PBE-GGA)

Data for crystalline Cd3SiNi at its relaxed geometry.

a = 5.0152 Å, b = 5.0152 Å, c = 5.0152 Å
α = 90.00°, β = 90.00°, γ = 90.00°
Last column: nearest neighbours and their distance in Å.
Sites, in units of the cell vectors:
Ni 0.5000 0.5000 0.5000  12 Cd 3.55
Si 0.0000 0.0000 0.0000  6 Cd 2.51
Cd 0.5000 0.0000 0.0000  2 Si 2.51
Cd 0.0000 0.5000 0.0000  2 Si 2.51
Cd 0.0000 0.0000 0.5000  2 Si 2.51

Calculated values
* crystal system: cubic
* M_tot: 0.0 μB/f.u.

=====

Energies in kJ/mol of atoms, measured from the most stable structure: 1 0.0; 2 27.8.

=====

1 | ## Sm3CdNi (PBE-GGA)

Data for crystalline Sm3CdNi at its relaxed geometry.

a = 4.7456 Å, b = 7.3708 Å, c = 8.3008 Å
α = 111.13°, β = 90.00°, γ = 90.00°
Last column: nearest neighbours and their distance in Å.
Sites, in units of the cell vectors:
Cd 0.1955 0.4001 0.0924  8 Sm 3.18-3.49
Cd 0.6955 0.0215 0.4617  8 Sm 3.18-3.49
Sm 0.1955 0.7693 0.5277  3 Ni 2.74-3.04
Sm 0.1955 0.0185 0.1947  1 Ni 2.73
Sm 0.6955 0.6522 0.0263  3 Ni 2.74-3.04
Sm 0.6955 0.4031 0.3593  1 Ni 2.73
Sm 0.1955 0.3685 0.6864  1 Ni 2.79
Sm 0.6955 0.0531 0.8676  1 Ni 2.79
Ni 0.6955 0.6500 0.6952  2 Ni 2.72, 5 Sm 2.73-3.04
Ni 0.1955 0.7715 0.8589  2 Ni 2.72, 5 Sm 2.73-3.04

Calculated values
* crystal system: monoclinic
* M_tot: 0.0 μB/f.u.

=====

2 | ## Sm3CdNi (PBE-GGA)

Data for crystalline Sm3CdNi at its relaxed geometry.

a = 5.3205 Å, b = 5.3205 Å, c = 5.3205 Å
α = 90.00°, β = 90.00°, γ = 90.00°
Last column: nearest neighbours and their distance in Å.
Sites, in units of the cell vectors:
Cd 0.5000 0.5000 0.5000  12 Sm 3.76
Ni 0.0000 0.0000 0.0000  6 Sm 2.66
Sm 0.5000 0.0000 0.0000  2 Ni 2.66
Sm 0.0000 0.5000 0.0000  2 Ni 2.66
Sm 0.0000 0.0000 0.5000  2 Ni 2.66

Calculated values
* crystal system: cubic
* M_tot: 0.0 μB/f.u.

=====

Energies in kJ/mol of atoms, measured from the most stable structure: 1 0.0; 2 15.8.

=====

1 | ## Sm4CdNi (PBE-GGA)

Data for crystalline Sm4CdNi at its relaxed geometry.

a = 7.0410 Å, b = 7.4676 Å, c = 7.0566 Å
α = 90.00°, β = 96.54°, γ = 90.00°
Last column: nearest neighbours and their distance in Å.
Sites, in units of the cell vectors:
Sm 0.9007 0.6457 0.1762  1 Ni 2.56
Sm 0.5993 0.1457 0.8238  1 Ni 2.56
Sm 0.8051 0.1746 0.3522  2 Ni 2.81-2.92
Sm 0.3051 0.3253 0.3522  2 Ni 2.81-2.92
Sm 0.6949 0.6746 0.6478  2 Ni 2.81-2.92
Sm 0.1949 0.8254 0.6478  2 Ni 2.81-2.92
Sm 0.4007 0.8543 0.1762  1 Ni 2.56
Sm 0.0993 0.3543 0.8238  1 Ni 2.56
Ni 0.0000 0.5000 0.5000  4 Sm 2.56-2.81
Ni 0.5000 0.0000 0.5000  4 Sm 2.56-2.81
Cd 0.5000 0.5000 0.0000  6 Sm 3.04-3.25
Cd 0.0000 0.0000 0.0000  6 Sm 3.04-3.25

Calculated values
* crystal system: monoclinic
* M_tot: 0.0 μB/f.u.

=====

2 | ## Sm4CdNi (PBE-GGA)

Data for crystalline Sm4CdNi at its relaxed geometry.

a = 9.7465 Å, b = 9.7465 Å, c = 9.7465 Å
α = 60.00°, β = 60.00°, γ = 60.00°
Last column: nearest neighbours and their distance in Å.
Sites, in units of the cell vectors:
Ni 0.1425 0.5726 0.1425  6 Sm 2.84-2.86
Ni 0.5726 0.1425 0.1425  6 Sm 2.84-2.86
Ni 0.1425 0.1425 0.5726  6 Sm 2.84-2.86
Ni 0.1425 0.1425 0.1425  6 Sm 2.84-2.86
Sm 0.9555 0.3482 0.3482  3 Ni 2.84
Sm 0.5634 0.9366 0.5634  2 Cd 3.31, 2 Ni 3.53, 10 Sm 3.53-3.65
Sm 0.3482 0.9555 0.3482  3 Ni 2.84
Sm 0.9366 0.9366 0.5634  2 Cd 3.31, 2 Ni 3.53, 10 Sm 3.53-3.65
Sm 0.1906 0.8094 0.1906  2 Ni 2.86
Sm 0.9366 0.5634 0.9366  2 Cd 3.31, 2 Ni 3.53, 10 Sm 3.53-3.65
Sm 0.8094 0.1906 0.1906  2 Ni 2.86
Sm 0.8094 0.8094 0.1906  2 Ni 2.86
Sm 0.1906 0.8094 0.8094  2 Ni 2.86
Sm 0.5634 0.5634 0.9366  2 Cd 3.31, 2 Ni 3.53, 10 Sm 3.53-3.65
Sm 0.9366 0.5634 0.5634  2 Cd 3.31, 2 Ni 3.53, 10 Sm 3.53-3.65
Sm 0.3482 0.3482 0.9555  3 Ni 2.84
Sm 0.5634 0.9366 0.9366  2 Cd 3.31, 2 Ni 3.53, 10 Sm 3.53-3.65
Sm 0.3482 0.3482 0.3482  3 Ni 2.84
Sm 0.8094 0.1906 0.8094  2 Ni 2.86
Sm 0.1906 0.1906 0.8094  2 Ni 2.86
Cd 0.5805 0.2585 0.5805  3 Cd 3.14, 6 Sm 3.31-3.49
Cd 0.2585 0.5805 0.5805  3 Cd 3.14, 6 Sm 3.31-3.49
Cd 0.5805 0.5805 0.5805  3 Cd 3.14, 6 Sm 3.31-3.49
Cd 0.5805 0.5805 0.2585  3 Cd 3.14, 6 Sm 3.31-3.49

Calculated values
* crystal system: cubic
* M_tot: 0.0 μB/f.u.

=====

Energies in kJ/mol of atoms, measured from the most stable structure: 1 20.2; 2 0.0.

=====

1 | ## Cd2NiSn2 (PBE-GGA)

Data for crystalline Cd2NiSn2 at its relaxed geometry.

a = 4.1176 Å, b = 4.1176 Å, c = 7.9828 Å
α = 75.05°, β = 75.05°, γ = 90.00°
Last column: nearest neighbours and their distance in Å.
Sites, in units of the cell vectors:
Sn 0.7500 0.2500 0.5000  4 Sn 2.91, 4 Cd 3.15
Sn 0.2500 0.7500 0.5000  4 Sn 2.91, 4 Cd 3.15
Cd 0.4104 0.4104 0.1791  1 Cd 2.66
Cd 0.5896 0.5896 0.8209  1 Cd 2.66
Ni 0.0000 0.0000 0.0000  8 Cd 3.20

Calculated values
* crystal system: tetragonal
* M_tot: 0.0 μB/f.u.

=====

2 | ## Cd2NiSn2 (PBE-GGA)

Data for crystalline Cd2NiSn2 at its relaxed geometry.

a = 6.8575 Å, b = 6.8575 Å, c = 4.9605 Å
α = 90.00°, β = 90.00°, γ = 90.00°
Last column: nearest neighbours and their distance in Å.
Sites, in units of the cell vectors:
Sn 0.3251 0.1749 0.5000  6 Cd 3.00-3.35
Sn 0.8251 0.3251 0.5000  6 Cd 3.00-3.35
Sn 0.6749 0.8251 0.5000  6 Cd 3.00-3.35
Sn 0.1749 0.6749 0.5000  6 Cd 3.00-3.35
Cd 0.1516 0.3484 0.0000  2 Ni 2.61
Cd 0.8484 0.6516 0.0000  2 Ni 2.61
Cd 0.3484 0.8484 0.0000  2 Ni 2.61
Cd 0.6516 0.1516 0.0000  2 Ni 2.61
Ni 0.0000 0.0000 0.0000  4 Cd 2.61
Ni 0.5000 0.5000 0.0000  4 Cd 2.61

Calculated values
* crystal system: tetragonal
* M_tot: 0.0 μB/f.u.

=====

3 | ## Cd2NiSn2 (PBE-GGA)

Data for crystalline Cd2NiSn2 at its relaxed geometry.

a = 6.7940 Å, b = 6.7940 Å, c = 5.0368 Å
α = 90.00°, β = 90.00°, γ = 90.00°
Last column: nearest neighbours and their distance in Å.
Sites, in units of the cell vectors:
Cd 0.8361 0.3361 0.5000  6 Sn 3.03-3.35, 1 Cd 3.15
Cd 0.3361 0.1639 0.5000  6 Sn 3.03-3.35, 1 Cd 3.15
Cd 0.1639 0.6639 0.5000  6 Sn 3.03-3.35, 1 Cd 3.15
Cd 0.6639 0.8361 0.5000  6 Sn 3.03-3.35, 1 Cd 3.15
Sn 0.1612 0.3388 0.0000  2 Ni 2.55
Sn 0.8388 0.6612 0.0000  2 Ni 2.55
Sn 0.3388 0.8388 0.0000  2 Ni 2.55
Sn 0.6612 0.1612 0.0000  2 Ni 2.55
Ni 0.5000 0.5000 0.0000  4 Sn 2.55
Ni 0.0000 0.0000 0.0000  4 Sn 2.55

Calculated values
* crystal system: tetragonal
* M_tot: 0.0 μB/f.u.

=====

Energies in kJ/mol of atoms, measured from the most stable structure: 1 40.8; 2 16.7; 3 0.0.

=====

1 | ## CdNi2Sn2 (PBE-GGA)

Data for crystalline CdNi2Sn2 at its relaxed geometry.

a = 4.5062 Å, b = 4.3399 Å, c = 9.3932 Å
α = 90.02°, β = 90.00°, γ = 90.00°
Last column: nearest neighbours and their distance in Å.
Sites, in units of the cell vectors:
Cd 0.2500 0.7501 0.3249  6 Ni 2.73-2.79, 1 Sn 2.99
Cd 0.7500 0.2499 0.6751  6 Ni 2.73-2.79, 1 Sn 2.99
Sn 0.2500 0.7500 0.0066  4 Ni 2.68, 1 Cd 2.99
Sn 0.2500 0.7499 0.6663  6 Ni 2.61-2.80
Sn 0.7500 0.2500 0.9934  4 Ni 2.68, 1 Cd 2.99
Sn 0.7500 0.2501 0.3337  6 Ni 2.61-2.80
Ni 0.2500 0.2498 0.8384  6 Sn 2.68-2.71, 2 Cd 2.73
Ni 0.2500 0.2499 0.5114  4 Sn 2.61-2.80, 4 Cd 2.73-2.79
Ni 0.7500 0.7502 0.1616  6 Sn 2.68-2.71, 2 Cd 2.73
Ni 0.7500 0.7501 0.4886  4 Sn 2.61-2.80, 4 Cd 2.73-2.79

Calculated values
* crystal system: orthorhombic
* M_tot: 0.0 μB/f.u.

=====

2 | ## CdNi2Sn2 (PBE-GGA)

Data for crystalline CdNi2Sn2 at its relaxed geometry.

a = 4.2579 Å, b = 4.2579 Å, c = 6.2487 Å
α = 70.08°, β = 70.08°, γ = 90.00°
Last column: nearest neighbours and their distance in Å.
Sites, in units of the cell vectors:
Cd 0.0000 0.0000 0.0000  8 Ni 3.24, 8 Sn 3.47
Sn 0.7500 0.2500 0.5000  4 Ni 2.63
Sn 0.2500 0.7500 0.5000  4 Ni 2.63
Ni 0.3903 0.3903 0.2194  1 Ni 2.40, 4 Sn 2.63
Ni 0.6097 0.6097 0.7806  1 Ni 2.40, 4 Sn 2.63

Calculated values
* crystal system: tetragonal
* M_tot: 0.0 μB/f.u.

=====

Energies in kJ/mol of atoms, measured from the most stable structure: 1 0.0; 2 28.2.